{"formula": "TaCuRe2", "functional": "PBE-GGA", "state": "optimized geometry", "m_tot_mub_per_fu": 0.0, "final_energy_ry_per_atom": -0.73676, "volume_a3_per_atom": 15.21, "formation_energy_ev_per_fu": 0.7, "polymorph_energy_ev_per_fu": 0.53, "lattice": [[4.957, 0.016, 0.000], [1.987, 4.542, 0.000], [-3.472, -2.279, 2.707]], "species": ["Ta", "Cu", "Re", "Re"], "frac_coords": [[0.250, 0.750, 0.500], [0.750, 0.250, 0.500], [0.500, 0.500, 0.000], [0.000, 0.000, 0.000]]}